[1]
This record from the Alexandria database describes a relaxed structure of ZnCd6Hg4. The functional is GGA-PBE.

a = 6.1681 Å, b = 6.1681 Å, c = 7.6516 Å
α = 108.35°, β = 108.35°, γ = 79.95°
Closest atoms and distances in Å follow each position.
Fractional coordinates of all 11 atoms:
Zn: 0.9713 0.9713 0.9883  5 Cd 2.78-3.10, 2 Hg 2.79
Cd: 0.0728 0.6675 0.6624  1 Zn 2.78, 3 Hg 2.99-3.10
Cd: 0.6675 0.0728 0.6624  1 Zn 2.78, 3 Hg 2.99-3.10
Cd: 0.8384 0.8384 0.2834  6 Hg 2.98-3.33, 1 Zn 3.00, 4 Cd 3.17-3.22
Cd: 0.0870 0.4657 0.0007  4 Hg 2.99-3.12, 4 Cd 3.00-3.18, 2 Zn 3.10-3.22
Cd: 0.4304 0.4304 0.3950  5 Hg 2.98-3.33, 4 Cd 3.14-3.32
Cd: 0.4657 0.0870 0.0007  4 Hg 2.99-3.12, 4 Cd 3.00-3.18, 2 Zn 3.10-3.22
Hg: 0.8769 0.3489 0.2783  1 Zn 2.79, 5 Cd 2.98-3.12
Hg: 0.5942 0.5942 0.8218  6 Cd 2.98-3.33, 1 Zn 3.26
Hg: 0.3489 0.8769 0.2783  1 Zn 2.79, 5 Cd 2.98-3.12
Hg: 0.1470 0.1470 0.6285  7 Cd 3.00-3.17, 2 Hg 3.17

Calculated values
total magnetization = 0.0 μB per cell
crystal system = monoclinic
V = 261.3 Å³ per cell
space-group type = Cm (8)
final energy = -0.69 eV per atom

[2]
This record from the Alexandria database describes a relaxed structure of AcCd7Cu5. The functional is GGA-PBE.

a = 5.2901 Å, b = 7.3791 Å, c = 7.3791 Å
α = 82.78°, β = 69.00°, γ = 69.00°
Closest atoms and distances in Å follow each position.
Fractional coordinates of all 13 atoms:
Ac: 0.0132 0.9868 0.9868  10 Cd 3.28-3.50, 6 Cu 3.35-3.52
Cd: 0.6581 0.3419 0.3419  5 Cd 2.89-3.18, 4 Cu 3.00
Cd: 0.3504 0.6496 0.6496  6 Cu 2.86-2.91, 3 Cd 2.99-3.14
Cd: 0.9929 0.3573 0.6569  5 Cu 2.86-3.01, 4 Cd 2.92-3.13
Cd: 0.9929 0.6569 0.3573  5 Cu 2.86-3.01, 4 Cd 2.92-3.13
Cd: 0.2779 0.2221 0.2221  6 Cd 2.89-3.13, 4 Cu 2.89
Cd: 0.5005 0.7844 0.2145  5 Cu 2.74-3.03, 3 Cd 2.96-3.02
Cd: 0.5005 0.2145 0.7844  5 Cu 2.74-3.03, 3 Cd 2.96-3.02
Cu: 0.4984 0.9915 0.5144  3 Cu 2.63-2.68, 5 Cd 2.74-2.89
Cu: 0.9957 0.9915 0.5144  3 Cu 2.63-2.68, 5 Cd 2.74-2.89
Cu: 0.4984 0.5144 0.9915  3 Cu 2.63-2.68, 5 Cd 2.74-2.89
Cu: 0.9957 0.5144 0.9915  3 Cu 2.63-2.68, 5 Cd 2.74-2.89
Cu: 0.7254 0.7746 0.7746  4 Cu 2.68, 4 Cd 2.91-2.98

Calculated values
total magnetization = 0.0 μB per cell
crystal system = orthorhombic
V = 251.0 Å³ per cell
space-group type = Imm2 (44)
final energy = -2.45 eV per atom

[3]
This record from the Alexandria database describes a relaxed structure of ZrReTe2. The functional is GGA-PBE.

a = 3.4555 Å, b = 4.8202 Å, c = 4.8202 Å
α = 90.00°, β = 90.00°, γ = 90.00°
Closest atoms and distances in Å follow each position.
Fractional coordinates of all 4 atoms:
Re: 0.5000 0.0000 0.5000  8 Te 2.97
Te: 0.0000 0.0000 0.0000  4 Zr 2.97, 4 Re 2.97
Te: 0.0000 0.5000 0.5000  4 Zr 2.97, 4 Re 2.97
Zr: 0.5000 0.5000 0.0000  8 Te 2.97

Calculated values
total magnetization = 0.0 μB per cell
formation energy without anion corrections = 0.039 eV per atom
crystal system = tetragonal
V = 80.3 Å³ per cell
E above lowest polymorph = 1.03 eV per formula unit
space-group type = P4/mmm (123)
final energy = -6.78 eV per atom

[4]
This record from the Alexandria database describes a relaxed structure of Sb2MoRu. The functional is GGA-PBE.

a = 3.0702 Å, b = 4.2731 Å, c = 5.6774 Å
α = 90.00°, β = 90.00°, γ = 90.00°
Closest atoms and distances in Å follow each position.
Fractional coordinates of all 4 atoms:
Mo: 0.0000 0.0000 0.4679  6 Sb 2.72-2.96
Ru: 0.5000 0.5000 0.7807  6 Sb 2.70-2.98
Sb: 0.0000 0.0000 0.9467  2 Mo 2.72-2.96, 4 Ru 2.79
Sb: 0.5000 0.5000 0.3047  2 Ru 2.70-2.98, 4 Mo 2.79

Calculated values
total magnetization = 0.0 μB per cell
formation energy without anion corrections = 0.201 eV per atom
crystal system = orthorhombic
V = 74.5 Å³ per cell
E above lowest polymorph = 0.52 eV per formula unit
space-group type = Pmm2 (25)
final energy = -6.89 eV per atom

Question: Look up the final energy of the third one.
Answer: -6.78 eV per atom

Question: The highest V belongs to which entry?
Answer: ZnCd6Hg4

Question: Look up the total magnetization of the third one.
Answer: 0.0 μB per cell

Repeat the third record exactly.
This record from the Alexandria database describes a relaxed structure of ZrReTe2. The functional is GGA-PBE.

a = 3.4555 Å, b = 4.8202 Å, c = 4.8202 Å
α = 90.00°, β = 90.00°, γ = 90.00°
Closest atoms and distances in Å follow each position.
Fractional coordinates of all 4 atoms:
Re: 0.5000 0.0000 0.5000  8 Te 2.97
Te: 0.0000 0.0000 0.0000  4 Zr 2.97, 4 Re 2.97
Te: 0.0000 0.5000 0.5000  4 Zr 2.97, 4 Re 2.97
Zr: 0.5000 0.5000 0.0000  8 Te 2.97

Calculated values
total magnetization = 0.0 μB per cell
formation energy without anion corrections = 0.039 eV per atom
crystal system = tetragonal
V = 80.3 Å³ per cell
E above lowest polymorph = 1.03 eV per formula unit
space-group type = P4/mmm (123)
final energy = -6.78 eV per atom